Here is an optimized crystal structure of RbSr2LiTl from the Alexandria database. Energies are from PBE.

Lattice parameters (Å, degrees): 6.5779 6.5779 5.6768 90.00 90.00 90.00
Closest atoms and distances in Å follow each position.
Element x y z (fractional)
Rb  0.5000  0.5000  0.5000  8 Sr 4.34, 4 Li 4.65
Sr  0.5000  0.0000  0.0000  2 Tl 3.29
Tl  0.0000  0.0000  0.0000  2 Li 2.84
Li  0.0000  0.0000  0.5000  2 Tl 2.84
Sr  0.0000  0.5000  0.0000  2 Tl 3.29

Results
The calculation puts the density of states at the Fermi level at 1.02 states/eV per atom. The total magnetic moment is 0.00 μB per atom. Its energy of formation from the pure elements is 4 meV per atom.